The following is a PBE+U calculation of crystalline CrIn2BiO6 at its relaxed geometry, from Alexandria. Values from VASP.

Properties
space-group type = R3 (146)
crystal system = trigonal
uncorrected energy = -61.7 eV/cell
N(E_F) = 0.00 states/eV per cell

```
&SYSTEM
  ibrav = 0, nat = 10, ntyp = 4
/
ATOMIC_SPECIES
O 16.00 O.upf
In 114.82 In.upf
Cr 52.00 Cr.upf
Bi 208.98 Bi.upf
CELL_PARAMETERS angstrom
-2.301 4.956 1.171
-5.541 0.649 -0.308
-3.031 0.553 5.034
ATOMIC_POSITIONS crystal
O 0.438 0.728 0.740
O 0.198 0.887 0.267
O 0.887 0.648 0.267
In 0.029 0.029 0.913
Cr 0.820 0.820 0.539
O 0.094 0.438 0.740
O 0.648 0.198 0.267
Bi 0.302 0.302 0.093
O 0.727 0.094 0.740
In 0.517 0.517 0.450
```